Compound: Tb4Tl5Ga2
Source: the Alexandria database
Functional: GGA-PBE
Structure: relaxed

Values from the calculation:
DFT formation energy = -0.36 eV/atom
DOS(E_F) = 0.705 states/eV/atom
Magnetic moment = 0.0000 μB per atom
E_tot = -3.67 eV per atom

Geometry as CIF:
```
data_Tb4Tl5Ga2
_chemical_formula_sum 'Tb4 Tl5 Ga2'
_cell_length_a 8.127
_cell_length_b 3.714
_cell_length_c 9.571
_cell_angle_alpha 90.00
_cell_angle_beta 92.31
_cell_angle_gamma 90.00
_space_group_name_H-M_alt 'P 1 2/m 1'
_space_group_IT_number 10
loop_
_space_group_symop_operation_xyz
'x,y,z'
'-x,-y,-z'
'-x,y,-z'
'x,-y,z'
loop_
_atom_site_label
_atom_site_fract_x
_atom_site_fract_y
_atom_site_fract_z
_atom_site_occupancy
Tb1 0.205 0.000 0.354 1
Tb2 0.230 0.000 0.907 1
Tl1 0.139 0.500 0.632 1
Tl2 0.450 0.500 0.160 1
Tl3 0.500 0.500 0.500 1
Ga1 0.080 0.500 0.121 1
```